OsS2: relaxed, PBE.

Cell: 5.6521 5.6521 5.6521 Å, 90.00 90.00 90.00°
Closest atoms and distances in Å follow each position.
Space group Pa-3 (No. 205)
Unique sites:
Os 0.0000 0.0000 0.0000  6 S 2.36
S 0.1161 0.6161 0.8839  1 S 2.27, 3 Os 2.36

**Total energy**: -6.854 eV/atom
**Spin magnetization**: 0.00 μB per formula unit